No. 1
# RbNaCd2Br6

Crystalline RbNaCd2Br6 at its relaxed geometry (GGA-PBE, Alexandria).

## Properties
* E_form (uncorrected): -1.134 eV per atom
* uncorrected energy: -2.55 eV per atom
* space-group type: R3

Cell lengths 7.649, 7.649, 7.788 Å; angles 60.58, 60.57, 59.99 degrees
Fractional coordinates of all 10 atoms:
1 Rb 0.777 0.778 0.668
2 Na 0.312 0.312 0.063
3 Cd 0.519 0.519 0.442
4 Cd 0.010 0.010 0.970
5 Br 0.646 0.255 0.224
6 Br 0.255 0.876 0.224
7 Br 0.876 0.646 0.224
8 Br 0.329 0.744 0.733
9 Br 0.744 0.193 0.733
10 Br 0.193 0.329 0.734

No. 2
# Ce4FeSn

Crystalline Ce4FeSn at its relaxed geometry (GGA-PBE, Alexandria).

## Properties
* DOS(E_F): 2.7654 states/eV per atom
* uncorrected energy: -6.29 eV per atom
* space-group type: Immm

Cell lengths 5.641, 6.951, 8.880 Å; angles 113.04, 108.54, 90.00 degrees
Last column: magnetic moment on the atom in μB.
Fractional coordinates of all 12 atoms:
1 Ce 0.191 0.691 0.382  0.82
2 Ce 0.380 0.123 0.759  0.71
3 Ce 0.000 0.209 0.000  0.37
4 Ce 0.620 0.364 0.241  0.71
5 Ce 0.809 0.309 0.618  0.82
6 Ce 0.620 0.877 0.241  0.71
7 Ce 0.000 0.791 0.000  0.37
8 Ce 0.380 0.636 0.759  0.71
9 Fe 0.242 0.500 0.000  -0.29
10 Fe 0.758 0.500 0.000  -0.29
11 Sn 0.806 0.806 0.612  -0.03
12 Sn 0.194 0.194 0.388  -0.03

No. 3
# ScTe2IrI

Crystalline ScTe2IrI at its relaxed geometry (GGA-PBE, Alexandria).

## Properties
* energy above the most stable polymorph in this dataset: 2.63 eV/f.u.
* DOS(E_F): 1.3838 states/eV per atom
* E_form (uncorrected): 0.758 eV per atom
* uncorrected energy: -3.85 eV per atom
* space-group type: P4/mmm

Cell lengths 5.529, 5.529, 5.458 Å; angles 90.00, 90.00, 90.00 degrees
Last column: magnetic moment on the atom in μB.
Fractional coordinates of all 5 atoms:
1 I 0.000 0.000 0.500  0.12
2 Sc 0.000 0.000 0.000  0.03
3 Ir 0.500 0.500 0.500  2.00
4 Te 0.000 0.500 0.000  0.10
5 Te 0.500 0.000 0.000  0.10

No. 4
# PuSiAu

Crystalline PuSiAu at its relaxed geometry (GGA-PBE, Alexandria).

## Properties
* DOS(E_F): 3.6626 states/eV per atom
* E_form (uncorrected): -0.430 eV per atom
* uncorrected energy: -8.11 eV per atom
* space-group type: Cmcm

Cell lengths 3.864, 3.877, 8.444 Å; angles 103.27, 90.00, 90.00 degrees
Last column: magnetic moment on the atom in μB.
Fractional coordinates of all 6 atoms:
1 Pu 0.250 0.895 0.790  5.15
2 Pu 0.750 0.105 0.210  5.15
3 Si 0.250 0.541 0.082  -0.04
4 Si 0.750 0.459 0.918  -0.04
5 Au 0.750 0.293 0.586  0.01
6 Au 0.250 0.707 0.414  0.01

No. 5
# Np2TlBr6

Crystalline Np2TlBr6 at its relaxed geometry (GGA-PBE, Alexandria).

## Properties
* DOS(E_F): 2.4363 states/eV per atom
* E_form (uncorrected): -1.151 eV per atom
* uncorrected energy: -5.40 eV per atom
* space-group type: P-31m

Cell lengths 7.286, 7.536, 7.536 Å; angles 120.00, 90.00, 90.00 degrees
Last column: magnetic moment on the atom in μB.
Fractional coordinates of all 9 atoms:
1 Np 0.500 0.667 0.333  4.33
2 Np 0.500 0.333 0.667  4.33
3 Tl 0.000 0.000 0.000  0.01
4 Br 0.732 0.634 0.634  -0.03
5 Br 0.268 0.634 0.000  -0.03
6 Br 0.268 0.000 0.634  -0.03
7 Br 0.732 0.366 0.000  -0.03
8 Br 0.268 0.366 0.366  -0.03
9 Br 0.732 0.000 0.366  -0.03

No. 6
# ZrOsRu4

Crystalline ZrOsRu4 at its relaxed geometry (GGA-PBE, Alexandria).

## Properties
* DOS(E_F): 1.3221 states/eV per atom
* uncorrected energy: -9.30 eV per atom
* space-group type: F-43m

Cell lengths 5.103, 5.103, 5.103 Å; angles 60.00, 60.00, 60.00 degrees
Fractional coordinates of all 6 atoms:
1 Zr 0.750 0.750 0.750
2 Os 0.000 0.000 0.000
3 Ru 0.877 0.374 0.374
4 Ru 0.374 0.374 0.877
5 Ru 0.374 0.877 0.374
6 Ru 0.374 0.374 0.374

No. 7
# NaFeSbI2

Crystalline NaFeSbI2 at its relaxed geometry (GGA-PBE, Alexandria).

## Properties
* energy above the most stable polymorph in this dataset: 4.37 eV/f.u.
* DOS(E_F): 1.2831 states/eV per atom
* E_form (uncorrected): 0.852 eV per atom
* uncorrected energy: -2.55 eV per atom
* space-group type: P4/mmm

Cell lengths 5.675, 5.675, 5.848 Å; angles 90.00, 90.00, 90.00 degrees
Last column: magnetic moment on the atom in μB.
Fractional coordinates of all 5 atoms:
1 I 0.000 0.500 0.000  0.12
2 I 0.500 0.000 0.000  0.12
3 Sb 0.000 0.000 0.500  0.41
4 Fe 0.500 0.500 0.500  3.43
5 Na 0.000 0.000 0.000  0.01

No. 8
# NaEr2Sc3Te6

Crystalline NaEr2Sc3Te6 at its relaxed geometry (GGA-PBE, Alexandria).

## Properties
* DOS(E_F): 0.4693 states/eV per atom
* E_form (uncorrected): -1.178 eV per atom
* uncorrected energy: -5.20 eV per atom
* space-group type: C2/m

Cell lengths 4.237, 8.595, 9.552 Å; angles 103.51, 102.81, 90.00 degrees
Fractional coordinates of all 12 atoms:
1 Na 0.500 0.000 0.000
2 Er 0.832 0.663 0.665
3 Er 0.168 0.337 0.335
4 Sc 0.500 0.500 0.000
5 Sc 0.836 0.180 0.673
6 Sc 0.164 0.820 0.327
7 Te 0.328 0.924 0.656
8 Te 0.664 0.587 0.327
9 Te 0.672 0.076 0.344
10 Te 0.999 0.259 0.998
11 Te 0.001 0.741 0.002
12 Te 0.336 0.413 0.673

No. 9
# TaTlAs2

Crystalline TaTlAs2 at its relaxed geometry (GGA-PBE, Alexandria).

## Properties
* energy above the most stable polymorph in this dataset: 2.28 eV/f.u.
* DOS(E_F): 0.5851 states/eV per atom
* uncorrected energy: -5.45 eV per atom
* space-group type: Cmmm

Cell lengths 4.875, 4.875, 3.492 Å; angles 90.00, 90.00, 105.53 degrees
Fractional coordinates of all 4 atoms:
1 Tl 0.000 0.500 0.500
2 As 0.000 0.000 0.000
3 As 0.500 0.500 0.000
4 Ta 0.500 0.000 0.500

No. 10
# YZnP2

Crystalline YZnP2 at its relaxed geometry (GGA-PBE, Alexandria).

## Properties
* DOS(E_F): 0.4488 states/eV per atom
* uncorrected energy: -5.15 eV per atom
* space-group type: P4/mmm

Cell lengths 4.417, 4.418, 3.697 Å; angles 90.00, 90.00, 90.00 degrees
Fractional coordinates of all 4 atoms:
1 P 0.000 0.000 0.000
2 P 0.500 0.500 0.000
3 Y 0.500 0.000 0.500
4 Zn 0.000 0.500 0.500

No. 11
# Sc2SiIr

Crystalline Sc2SiIr at its relaxed geometry (GGA-PBE, Alexandria).

## Properties
* DOS(E_F): 0.7440 states/eV per atom
* E_form (uncorrected): -0.569 eV per atom
* uncorrected energy: -7.31 eV per atom
* space-group type: P4mm

Cell lengths 3.033, 3.033, 7.797 Å; angles 90.00, 90.00, 90.00 degrees
Fractional coordinates of all 4 atoms:
1 Ir 0.500 0.500 0.709
2 Sc 0.000 0.000 0.955
3 Sc 0.500 0.500 0.296
4 Si 0.000 0.000 0.541

No. 12
# NaTcPtI2

Crystalline NaTcPtI2 at its relaxed geometry (GGA-PBE, Alexandria).

## Properties
* DOS(E_F): 0.5747 states/eV per atom
* E_form (uncorrected): 1.285 eV per atom
* uncorrected energy: -2.88 eV per atom
* space-group type: P4/mmm

Cell lengths 5.502, 5.071, 5.502 Å; angles 90.00, 90.00, 90.00 degrees
Last column: magnetic moment on the atom in μB.
Fractional coordinates of all 5 atoms:
1 I 0.000 0.000 0.500  0.02
2 I 0.500 0.000 0.000  0.03
3 Na 0.000 0.000 0.000  0.00
4 Tc 0.500 0.500 0.500  3.83
5 Pt 0.000 0.500 0.000  -0.06

Number 1: total magnetic moment 0.0 Bohr magnetons per cell. Number 2: total magnetic moment 6.0 Bohr magnetons per cell. Number 3: total magnetic moment 2.8 Bohr magnetons per cell. Number 4: total magnetic moment 10.9 Bohr magnetons per cell. Number 5: total magnetic moment 9.0 Bohr magnetons per cell. Number 6: total magnetic moment 0.0 Bohr magnetons per cell. Number 7: total magnetic moment 5.2 Bohr magnetons per cell. Number 8: total magnetic moment 0.0 Bohr magnetons per cell. Number 9: total magnetic moment 0.0 Bohr magnetons per cell. Number 10: total magnetic moment 0.0 Bohr magnetons per cell. Number 11: total magnetic moment 0.0 Bohr magnetons per cell. Number 12: total magnetic moment 4.3 Bohr magnetons per cell.